VASP calculation (GGA-PBE) on a relaxed Li5TlAu3 crystal.

a b c (Å): 5.6527 8.0127 8.0128
angles (deg): 120.00 90.00 90.00
Closest atoms and distances in Å follow each position.
Fractional positions:
Li: 0.0000 0.3333 0.6667  8 Li 2.83-3.06, 6 Au 2.93
Li: 0.7500 0.3239 0.0000  3 Au 2.52-2.76
Li: 0.7500 0.6760 0.6760  3 Au 2.52-2.76
Au: 0.7500 0.6387 0.0000  3 Li 2.52-2.76
Tl: 0.0000 0.0000 0.0000  2 Tl 2.83, 6 Li 2.96
Li: 0.2500 0.3240 0.3240  3 Au 2.52-2.76
Li: 0.2500 0.0000 0.6760  3 Au 2.52-2.76
Li: 0.0000 0.6667 0.3333  8 Li 2.83-3.06, 6 Au 2.93
Au: 0.2500 0.3613 0.0000  3 Li 2.52-2.76
Au: 0.7500 0.0000 0.6387  3 Li 2.52-2.76
Au: 0.7500 0.3613 0.3613  3 Li 2.52-2.76
Li: 0.5000 0.6667 0.3333  8 Li 2.83-3.06, 6 Au 2.93
Li: 0.7500 0.0000 0.3240  3 Au 2.52-2.76
Au: 0.2500 0.0000 0.3613  3 Li 2.52-2.76
Li: 0.5000 0.3333 0.6667  8 Li 2.83-3.06, 6 Au 2.93
Li: 0.2500 0.6761 0.0000  3 Au 2.52-2.76
Au: 0.2500 0.6387 0.6387  3 Li 2.52-2.76
Tl: 0.5000 0.0000 0.0000  2 Tl 2.83, 6 Li 2.96

Computed properties:
**VASP energy**: -0.2052 Ry/atom
**Formation energy from the elements**: -0.373 eV/atom